[1]
## Ba2SiPb (PBE)

Data for a relaxed structure of Ba2SiPb.

```
Ba2SiPb
1.0
-1.908 -1.502 3.024
4.022 -0.835 2.123
-0.293 7.136 3.359
Ba Si Pb
2 1 1
direct
0.000 0.000 0.525
0.000 0.000 0.975
0.500 0.500 0.750
0.500 0.500 0.250
```

Values from the calculation:
E_form (uncorrected) ... -0.2673 eV per atom
ΔE to the lowest computed polymorph ... 167 meV/atom
Crystal system ... orthorhombic

[2]
## Tl2CrPb (PBE)

Data for a relaxed structure of Tl2CrPb.

```
Tl2CrPb
1.0
-0.756 -2.688 -4.863
5.369 -0.448 1.554
-0.771 -3.025 1.793
Cr Tl Pb
1 2 1
direct
0.500 0.000 0.500
0.500 0.500 0.000
0.000 0.000 0.000
0.000 0.500 0.500
```

Values from the calculation:
ΔE to the lowest computed polymorph ... 124 meV/atom
Crystal system ... orthorhombic
ΔH_f (0 K) ... 0.459 eV per atom

[3]
## La2CeScS6 (PBE)

Data for a relaxed structure of La2CeScS6.

```
La2CeScS6
1.0
-0.552 -4.848 -4.715
6.268 -3.060 2.412
-5.239 -5.837 6.206
La S Ce Sc
4 12 2 2
direct
0.536 0.592 0.754
0.464 0.408 0.246
0.036 0.908 0.254
0.964 0.092 0.746
0.861 0.551 0.262
0.672 0.303 0.930
0.139 0.449 0.738
0.306 0.681 0.429
0.806 0.819 0.929
0.172 0.197 0.430
0.694 0.319 0.571
0.328 0.697 0.070
0.194 0.181 0.071
0.361 0.949 0.762
0.639 0.051 0.238
0.828 0.803 0.570
0.000 0.500 0.000
0.500 0.000 0.500
0.500 0.000 0.000
0.000 0.500 0.500
```

Values from the calculation:
E_form (uncorrected) ... -2.0411 eV per atom
Crystal system ... monoclinic

[4]
## LaPrCdAu (PBE)

Data for a relaxed structure of LaPrCdAu.

```
LaPrCdAu
1.0
-5.144 1.704 -0.222
-2.811 0.739 4.578
-1.267 5.017 1.624
Au La Pr Cd
1 1 1 1
direct
0.250 0.250 0.250
0.000 0.000 0.000
0.500 0.500 0.500
0.750 0.750 0.750
```

Values from the calculation:
ΔE to the lowest computed polymorph ... 33 meV/atom
Crystal system ... cubic
ΔH_f (0 K) ... -0.507 eV per atom